Computed, not measured: a relaxed structure of K2MoAs at the PBE level of DFT.

Values from the calculation:
- energy of formation (eV/atom) = 0.846
- SG = Cmmm, No. 65
- ρ (g/cm3) = 4.43
- VASP energy (eV/atom) = -3.57
- Fermi-level density of states (states/eV/f.u.) = 1.6

a = 6.3236 Å, b = 6.3236 Å, c = 2.9796 Å
α = 90.00°, β = 90.00°, γ = 128.38°
With the nearest neighbours (Å) after each atom.
Atoms (fractional coordinates):
K (0.0000, 0.5000, 0.0000)  4 K 2.75-2.98
K (0.5000, 0.0000, 0.0000)  4 K 2.75-2.98
Mo (0.0000, 0.0000, 0.5000)  2 As 2.75, 2 Mo 2.98
As (0.5000, 0.5000, 0.5000)  2 Mo 2.75, 2 As 2.98

Computed, not measured: a relaxed structure of KGaC3 at the PBE level of DFT.

Values from the calculation:
- energy of formation (eV/atom) = 2.483
- polymorph energy (0 for the lowest one) (meV/atom) = 0
- SG = Pm-3m, No. 221
- ρ (g/cm3) = 3.25
- VASP energy (eV/atom) = -3.88
- Fermi-level density of states (states/eV/f.u.) = 4.2

a = 4.1974 Å, b = 4.1974 Å, c = 4.1974 Å
α = 90.00°, β = 90.00°, γ = 90.00°
With the nearest neighbours (Å) after each atom.
Atoms (fractional coordinates):
K (0.0000, 0.0000, 0.0000)  12 C 2.97
Ga (0.5000, 0.5000, 0.5000)  6 C 2.10
C (0.0000, 0.5000, 0.5000)  2 Ga 2.10
C (0.5000, 0.0000, 0.5000)  2 Ga 2.10
C (0.5000, 0.5000, 0.0000)  2 Ga 2.10

Computed, not measured: a relaxed structure of Ho6Cd5Ag at the PBE level of DFT.

Values from the calculation:
- energy of formation (eV/atom) = -0.313
- SG = P2/m, No. 10
- ρ (g/cm3) = 8.99
- VASP energy (eV/atom) = -3.22
- Fermi-level density of states (states/eV/f.u.) = 11.7

a = 5.2322 Å, b = 7.4474 Å, c = 8.2816 Å
α = 90.00°, β = 108.30°, γ = 90.00°
With the nearest neighbours (Å) after each atom.
Atoms (fractional coordinates):
Ho (0.0000, 0.2446, 0.0000)  2 Ag 3.19, 6 Cd 3.23-3.25
Ho (0.0000, 0.7554, 0.0000)  2 Ag 3.19, 6 Cd 3.23-3.25
Ho (0.3361, 0.2481, 0.6720)  1 Ag 3.17, 7 Cd 3.19-3.24
Ho (0.3361, 0.7519, 0.6720)  1 Ag 3.17, 7 Cd 3.19-3.24
Ho (0.6639, 0.2481, 0.3280)  1 Ag 3.17, 7 Cd 3.19-3.24
Ho (0.6639, 0.7519, 0.3280)  1 Ag 3.17, 7 Cd 3.19-3.24
Cd (0.1679, 0.5000, 0.3359)  8 Ho 3.22-3.25
Cd (0.1698, 0.0000, 0.3399)  8 Ho 3.20-3.23
Cd (0.5000, 0.5000, 0.0000)  8 Ho 3.19-3.23
Cd (0.8302, 0.0000, 0.6600)  8 Ho 3.20-3.23
Cd (0.8321, 0.5000, 0.6641)  8 Ho 3.22-3.25
Ag (0.5000, 0.0000, 0.0000)  8 Ho 3.17-3.19

Computed, not measured: a relaxed structure of GaSbTe2Cl at the PBE level of DFT.

Values from the calculation:
- polymorph energy (0 for the lowest one) (meV/atom) = 0
- SG = P4/mmm, No. 123
- ρ (g/cm3) = 5.16
- VASP energy (eV/atom) = -2.69
- uncorrected formation energy (meV/atom) = 370.4
- Fermi-level density of states (states/eV/f.u.) = 4.2

a = 5.3369 Å, b = 5.3369 Å, c = 5.4495 Å
α = 90.00°, β = 90.00°, γ = 90.00°
With the nearest neighbours (Å) after each atom.
Atoms (fractional coordinates):
Ga (0.0000, 0.0000, 0.0000)  4 Te 2.67, 2 Sb 2.72
Sb (0.0000, 0.0000, 0.5000)  2 Ga 2.72
Te (0.0000, 0.5000, 0.0000)  2 Ga 2.67
Te (0.5000, 0.0000, 0.0000)  2 Ga 2.67
Cl (0.5000, 0.5000, 0.5000)  4 Sb 3.77, 8 Te 3.81

Computed, not measured: a relaxed structure of Rb2YCo at the PBE level of DFT.

Values from the calculation:
- energy of formation (eV/atom) = 1.471
- polymorph energy (0 for the lowest one) (meV/atom) = 640
- SG = Fm-3m, No. 225
- ρ (g/cm3) = 3.60
- VASP energy (eV/atom) = -2.41
- Fermi-level density of states (states/eV/f.u.) = 4.0

a = 5.9246 Å, b = 5.9246 Å, c = 5.9246 Å
α = 60.00°, β = 60.00°, γ = 60.00°
With the nearest neighbours (Å) after each atom.
Atoms (fractional coordinates):
Rb (0.2500, 0.2500, 0.2500)  4 Co 3.63, 4 Y 3.63
Rb (0.7500, 0.7500, 0.7500)  4 Y 3.63, 4 Co 3.63
Y (0.0000, 0.0000, 0.0000)  8 Rb 3.63
Co (0.5000, 0.5000, 0.5000)  8 Rb 3.63

Computed, not measured: a relaxed structure of Ag5Pd6Pb at the PBE level of DFT.

Values from the calculation:
- energy of formation (eV/atom) = -0.092
- polymorph energy (0 for the lowest one) (meV/atom) = 11
- SG = C2/m, No. 12
- ρ (g/cm3) = 11.21
- VASP energy (eV/atom) = -4.19
- Fermi-level density of states (states/eV/f.u.) = 3.2

a = 7.3400 Å, b = 7.3400 Å, c = 6.3400 Å
α = 90.04°, β = 90.04°, γ = 143.07°
With the nearest neighbours (Å) after each atom.
Atoms (fractional coordinates):
Ag (0.0000, 0.0000, 0.0000)  8 Pd 2.78-2.82
Ag (0.3277, 0.6723, 0.5000)  8 Pd 2.78-2.87
Ag (0.3325, 0.6675, 0.0000)  8 Pd 2.81-2.83
Ag (0.6675, 0.3325, 0.0000)  8 Pd 2.81-2.83
Ag (0.6723, 0.3277, 0.5000)  8 Pd 2.78-2.87
Pd (0.1644, 0.8352, 0.7519)  7 Ag 2.78-2.83, 1 Pb 2.79
Pd (0.1648, 0.8356, 0.2481)  7 Ag 2.78-2.83, 1 Pb 2.79
Pd (0.5001, 0.5001, 0.2520)  2 Pb 2.80-2.81, 6 Ag 2.82-2.87
Pd (0.4999, 0.4999, 0.7480)  2 Pb 2.80-2.81, 6 Ag 2.82-2.87
Pd (0.8352, 0.1644, 0.7519)  7 Ag 2.78-2.83, 1 Pb 2.79
Pd (0.8356, 0.1648, 0.2481)  7 Ag 2.78-2.83, 1 Pb 2.79
Pb (0.0000, 0.0000, 0.5000)  8 Pd 2.79-2.81

Computed, not measured: a relaxed structure of ZrMn13 at the PBE level of DFT.

Values from the calculation:
- energy of formation (eV/atom) = 0.059
- SG = Fm-3c, No. 226
- ρ (g/cm3) = 7.93
- VASP energy (eV/atom) = -9.07
- Fermi-level density of states (states/eV/f.u.) = 19.2

a = 7.8125 Å, b = 7.8125 Å, c = 7.8125 Å
α = 60.00°, β = 60.00°, γ = 60.00°
With the nearest neighbours (Å) after each atom.
Atoms (fractional coordinates):
Zr (0.2500, 0.2500, 0.2500)  24 Mn 3.20
Zr (0.7500, 0.7500, 0.7500)  24 Mn 3.20
Mn (0.0000, 0.0000, 0.0000)  12 Mn 2.40
Mn (0.0551, 0.3016, 0.6984)  9 Mn 2.27-2.49
Mn (0.0551, 0.6984, 0.9449)  9 Mn 2.27-2.49
Mn (0.0551, 0.9449, 0.3016)  9 Mn 2.27-2.49
Mn (0.1984, 0.4449, 0.8016)  9 Mn 2.27-2.49
Mn (0.1984, 0.5551, 0.4449)  9 Mn 2.27-2.49
Mn (0.1984, 0.8016, 0.5551)  9 Mn 2.27-2.49
Mn (0.3016, 0.0551, 0.9449)  9 Mn 2.27-2.49
Mn (0.3016, 0.6984, 0.0551)  9 Mn 2.27-2.49
Mn (0.3016, 0.9449, 0.6984)  9 Mn 2.27-2.49
Mn (0.4449, 0.1984, 0.5551)  9 Mn 2.27-2.49
Mn (0.4449, 0.5551, 0.8016)  9 Mn 2.27-2.49
Mn (0.4449, 0.8016, 0.1984)  9 Mn 2.27-2.49
Mn (0.5000, 0.5000, 0.5000)  12 Mn 2.40
Mn (0.5551, 0.1984, 0.8016)  9 Mn 2.27-2.49
Mn (0.5551, 0.4449, 0.1984)  9 Mn 2.27-2.49
Mn (0.5551, 0.8016, 0.4449)  9 Mn 2.27-2.49
Mn (0.6984, 0.0551, 0.3016)  9 Mn 2.27-2.49
Mn (0.6984, 0.3016, 0.9449)  9 Mn 2.27-2.49
Mn (0.6984, 0.9449, 0.0551)  9 Mn 2.27-2.49
Mn (0.8016, 0.1984, 0.4449)  9 Mn 2.27-2.49
Mn (0.8016, 0.4449, 0.5551)  9 Mn 2.27-2.49
Mn (0.8016, 0.5551, 0.1984)  9 Mn 2.27-2.49
Mn (0.9449, 0.0551, 0.6984)  9 Mn 2.27-2.49
Mn (0.9449, 0.3016, 0.0551)  9 Mn 2.27-2.49
Mn (0.9449, 0.6984, 0.3016)  9 Mn 2.27-2.49

Computed, not measured: a relaxed structure of Dy10Ga3Sb3 at the PBE level of DFT.

Values from the calculation:
- SG = P-62m, No. 189
- ρ (g/cm3) = 8.44
- VASP energy (eV/atom) = -4.94
- uncorrected formation energy (meV/atom) = -718.7
- Fermi-level density of states (states/eV/f.u.) = 12.1

a = 8.7707 Å, b = 8.7707 Å, c = 6.4930 Å
α = 90.00°, β = 90.00°, γ = 120.00°
With the nearest neighbours (Å) after each atom.
Atoms (fractional coordinates):
Dy (0.0000, 0.2380, 0.0000)  3 Sb 3.04-3.20
Dy (0.0000, 0.7613, 0.5000)  3 Ga 3.02-3.22
Dy (0.2380, 0.0000, 0.0000)  3 Sb 3.04-3.20
Dy (0.2387, 0.2387, 0.5000)  3 Ga 3.02-3.22
Dy (0.3333, 0.6667, 0.2589)  3 Ga 3.12, 2 Dy 3.13-3.36, 3 Sb 3.17
Dy (0.3333, 0.6667, 0.7411)  3 Ga 3.12, 2 Dy 3.13-3.36, 3 Sb 3.17
Dy (0.6667, 0.3333, 0.2589)  3 Ga 3.12, 2 Dy 3.13-3.36, 3 Sb 3.17
Dy (0.6667, 0.3333, 0.7411)  3 Ga 3.12, 2 Dy 3.13-3.36, 3 Sb 3.17
Dy (0.7613, 0.0000, 0.5000)  3 Ga 3.02-3.22
Dy (0.7620, 0.7620, 0.0000)  3 Sb 3.04-3.20
Ga (0.0000, 0.3942, 0.5000)  7 Dy 3.02-3.22
Ga (0.3942, 0.0000, 0.5000)  7 Dy 3.02-3.22
Ga (0.6058, 0.6058, 0.5000)  7 Dy 3.02-3.22
Sb (0.0000, 0.6030, 0.0000)  7 Dy 3.04-3.20
Sb (0.3970, 0.3970, 0.0000)  7 Dy 3.04-3.20
Sb (0.6030, 0.0000, 0.0000)  7 Dy 3.04-3.20